[1]
Material: SrMgCrP2O8
Method: DFT, PBE+U
State: optimized geometry

Symmetry: P-1 (2)
Energy relative to the lowest polymorph listed for this composition (kcal/mol of atoms): 7.73
DOS at the Fermi energy (states/eV/cell): 0.0
Crystal system: triclinic

Unit cell a=6.9778 b=6.1918 c=10.0970 alpha=111.79 beta=108.81 gamma=92.05
Element x y z (fractional)
Cr (0.1520, 0.6516, 0.4259)
Cr (0.8480, 0.3484, 0.5741)
O (0.8653, 0.1053, 0.1871)
O (0.0411, 0.3030, 0.0665)
O (0.7573, 0.0132, 0.3843)
O (0.9589, 0.6970, 0.9335)
O (0.3995, 0.7520, 0.3977)
O (0.0347, 0.8284, 0.2959)
O (0.1347, 0.8947, 0.8129)
O (0.2619, 0.1334, 0.2540)
O (0.0977, 0.4598, 0.5384)
O (0.9653, 0.1716, 0.7041)
O (0.2427, 0.9868, 0.6157)
O (0.6005, 0.2480, 0.6023)
O (0.9023, 0.5402, 0.4616)
O (0.7381, 0.8666, 0.7460)
O (0.6574, 0.7061, 0.1132)
O (0.3426, 0.2939, 0.8868)
P (0.9135, 0.7263, 0.7824)
P (0.0865, 0.2737, 0.2176)
P (0.8231, 0.9049, 0.2440)
P (0.1769, 0.0951, 0.7560)
Sr (0.7059, 0.3334, 0.8857)
Sr (0.2941, 0.6666, 0.1143)
Mg (0.3236, 0.0911, 0.4543)
Mg (0.6764, 0.9089, 0.5457)

[2]
Material: MgCr2PbO8
Method: DFT, PBE+U
State: optimized geometry

Symmetry: P-3m1 (164)
DOS at the Fermi energy (states/eV/cell): 0.0
E (eV/atom): -6.501
Crystal system: trigonal

Unit cell a=5.5344 b=5.5344 c=6.8979 alpha=90.00 beta=90.00 gamma=120.00
Element x y z (fractional)
O (0.1676, 0.3340, 0.6935)
O (0.8324, 0.6660, 0.3065)
O (0.8336, 0.1676, 0.3065)
O (0.6667, 0.3333, 0.9944)
O (0.6660, 0.8336, 0.6935)
O (0.3333, 0.6667, 0.0056)
O (0.1664, 0.8324, 0.6935)
O (0.3340, 0.1664, 0.3065)
Cr (0.6667, 0.3333, 0.2317)
Cr (0.3333, 0.6667, 0.7683)
Pb (0.0000, 0.0000, 0.0000)
Mg (0.0000, 0.0000, 0.5000)

[3]
Material: PrMgCr4O12
Method: DFT, PBE+U
State: optimized geometry

Symmetry: Amm2 (38)
DOS at the Fermi energy (states/eV/cell): 7.8
E (eV/atom): -6.939
Crystal system: orthorhombic

Unit cell a=5.1934 b=5.1934 c=7.6802 alpha=90.00 beta=90.00 gamma=88.23
Element x y z (fractional)
O (0.4655, 0.1049, 0.0000)
O (0.2797, 0.2797, 0.6946)
O (0.6899, 0.6899, 0.8222)
O (0.2009, 0.7921, 0.2457)
O (0.1049, 0.4655, 0.0000)
O (0.2797, 0.2797, 0.3054)
O (0.7921, 0.2009, 0.7543)
O (0.5513, 0.9359, 0.5000)
O (0.2009, 0.7921, 0.7543)
O (0.7921, 0.2009, 0.2457)
O (0.6899, 0.6899, 0.1778)
O (0.9359, 0.5513, 0.5000)
Cr (0.5074, 0.0029, 0.2395)
Cr (0.0029, 0.5074, 0.2395)
Cr (0.5074, 0.0029, 0.7605)
Cr (0.0029, 0.5074, 0.7605)
Mg (0.4911, 0.4911, 0.0000)
Pr (0.0212, 0.0212, 0.5000)

[4]
Material: Mg2CrPtO
Method: DFT, PBE+U
State: optimized geometry

Symmetry: P4/mmm (123)
DOS at the Fermi energy (states/eV/cell): 1.1
E (eV/atom): -5.427
Crystal system: tetragonal

Unit cell a=4.2033 b=4.0877 c=4.2033 alpha=90.00 beta=90.00 gamma=90.00
Element x y z (fractional)
Mg (0.0000, 0.0000, 0.5000)
Mg (0.5000, 0.0000, 0.0000)
Cr (0.0000, 0.5000, 0.0000)
Pt (0.5000, 0.5000, 0.5000)
O (0.0000, 0.0000, 0.0000)

[5]
Material: PuMgCrO6
Method: DFT, PBE+U
State: optimized geometry

Symmetry: P-31c (163)
DOS at the Fermi energy (states/eV/cell): 0.1
E (eV/atom): -8.142
Crystal system: trigonal

Unit cell a=5.1094 b=5.1094 c=9.1003 alpha=90.00 beta=90.00 gamma=120.00
Element x y z (fractional)
O (0.6791, 0.0141, 0.8718)
O (0.9859, 0.6650, 0.8718)
O (0.6650, 0.9859, 0.3718)
O (0.9859, 0.3209, 0.6282)
O (0.6650, 0.6791, 0.1282)
O (0.3209, 0.9859, 0.1282)
O (0.3350, 0.0141, 0.6282)
O (0.0141, 0.3350, 0.1282)
O (0.3350, 0.3209, 0.8718)
O (0.0141, 0.6791, 0.3718)
O (0.3209, 0.3350, 0.3718)
O (0.6791, 0.6650, 0.6282)
Cr (0.3333, 0.6667, 0.2500)
Cr (0.6667, 0.3333, 0.7500)
Mg (0.3333, 0.6667, 0.7500)
Mg (0.6667, 0.3333, 0.2500)
Pu (0.0000, 0.0000, 0.5000)
Pu (0.0000, 0.0000, 0.0000)

[6]
Material: RbMgCr2O
Method: DFT, PBE+U
State: optimized geometry

Symmetry: P4/mmm (123)
DOS at the Fermi energy (states/eV/cell): 1.8
E (eV/atom): -4.505
Crystal system: tetragonal

Unit cell a=4.4361 b=5.6279 c=4.4361 alpha=90.00 beta=90.00 gamma=90.00
Element x y z (fractional)
Cr (0.0000, 0.0000, 0.5000)
Cr (0.5000, 0.0000, 0.0000)
Mg (0.5000, 0.5000, 0.5000)
Rb (0.0000, 0.5000, 0.0000)
O (0.0000, 0.0000, 0.0000)

Respective magnetization values: 6.1, 0.0, 5.0, 3.9, 8.0, 8.8 μB per cell.